1.
# KBaIrO4

A relaxed KBaIrO4 crystal (PBE, Alexandria).

a = 4.0215 Å, b = 4.0215 Å, c = 13.4831 Å
α = 90.00°, β = 90.00°, γ = 90.00°
Space group I4mm (No. 107)
Symmetry-distinct sites (fractional):
1 K 0.0000 0.0000 0.0000
2 Ba 0.0000 0.0000 0.2952
3 Ir 0.0000 0.0000 0.6414
4 O 0.0000 0.0000 0.4977
5 O 0.0000 0.0000 0.7922
6 O 0.0000 0.5000 0.1533

calculated total energy: -6.003 eV/atom
mass density: 6.59 Mg/m³
ΔE_f (raw): -10.3 eV per formula unit

2.
# Sm6Si2Se3Cl

A relaxed Sm6Si2Se3Cl crystal (PBE, Alexandria).

a = 18.2591 Å, b = 4.1675 Å, c = 8.4383 Å
α = 90.00°, β = 102.86°, γ = 90.00°
Space group C2/m (No. 12)
Symmetry-distinct sites (fractional):
1 Sm 0.0082 0.0000 0.2690
2 Sm 0.1695 0.5000 0.5776
3 Sm 0.1731 0.5000 0.1027
4 Si 0.1665 0.0000 0.3326
5 Se 0.0000 0.5000 0.5000
6 Se 0.1613 0.0000 0.8375
7 Cl 0.0000 0.5000 0.0000

calculated total energy: -5.742 eV/atom
mass density: 6.53 Mg/m³
ΔE_f (raw): -17.4 eV per formula unit

3.
# BeInAg

A relaxed BeInAg crystal (PBE, Alexandria).

a = 4.2638 Å, b = 4.2638 Å, c = 3.3700 Å
α = 90.00°, β = 90.00°, γ = 120.00°
Space group P-6m2 (No. 187)
Symmetry-distinct sites (fractional):
1 Be 0.0000 0.0000 0.0000
2 In 0.3333 0.6667 0.5000
3 Ag 0.6667 0.3333 0.0000

calculated total energy: -2.752 eV/atom
ΔH_f (0 K): 0.3529 eV/atom
mass density: 7.25 Mg/m³
polymorph energy (0 for the lowest one): 112 meV/atom

4.
# Al2SbTe

A relaxed Al2SbTe crystal (PBE, Alexandria).

a = 7.1842 Å, b = 7.1842 Å, c = 7.1842 Å
α = 90.00°, β = 90.00°, γ = 90.00°
Space group Fm-3m (No. 225)
Symmetry-distinct sites (fractional):
1 Al 0.2500 0.2500 0.2500
2 Sb 0.0000 0.0000 0.0000
3 Te 0.0000 0.0000 0.5000

calculated total energy: -3.476 eV/atom
mass density: 5.43 Mg/m³
ΔE_f (raw): 0.8 eV per formula unit
polymorph energy (0 for the lowest one): 321 meV/atom

5.
# Ac6AlPd2

A relaxed Ac6AlPd2 crystal (PBE, Alexandria).

a = 10.1610 Å, b = 10.8978 Å, c = 11.3371 Å
α = 90.00°, β = 90.00°, γ = 90.00°
Space group Immm (No. 71)
Symmetry-distinct sites (fractional):
1 Ac 0.0000 0.1867 0.2404
2 Ac 0.1896 0.5000 0.1655
3 Ac 0.2130 0.3258 0.5000
4 Al 0.0000 0.0000 0.0000
5 Al 0.0000 0.0000 0.5000
6 Pd 0.0000 0.3121 0.0000
7 Pd 0.0000 0.5000 0.3696

calculated total energy: -4.708 eV/atom
ΔH_f (0 K): -0.3988 eV/atom
mass density: 8.48 Mg/m³

6.
# La2YZn

A relaxed La2YZn crystal (PBE, Alexandria).

a = 3.6878 Å, b = 3.6878 Å, c = 8.8975 Å
α = 90.00°, β = 90.00°, γ = 90.00°
Space group P4mm (No. 99)
Symmetry-distinct sites (fractional):
1 La 0.0000 0.0000 0.0000
2 La 0.5000 0.5000 0.3033
3 Y 0.0000 0.0000 0.5930
4 Zn 0.5000 0.5000 0.7754

calculated total energy: -4.556 eV/atom
ΔH_f (0 K): -0.1581 eV/atom
mass density: 5.93 Mg/m³
polymorph energy (0 for the lowest one): 3 meV/atom